No. 1
An optimized crystal structure of Cu3SeO6. Source: Alexandria via LeMat-Bulk, functional PBE.

a = 8.4410 Å, b = 8.4410 Å, c = 10.4961 Å
α = 90.00°, β = 90.00°, γ = 120.00°
Space group R-3 (No. 148, hexagonal axes)
Inequivalent atoms, fractional coordinates:
Cu  0.0459  0.2556  0.2076
Se  0.0000  0.0000  0.0000
Se  0.0000  0.0000  0.5000
O  0.0394  0.1907  0.8898
O  0.0497  0.2014  0.4024

raw formation energy = -0.46 eV/atom
energy above the lowest structure with this stoichiometry = 0.033 eV per atom
theoretical density = 5.62 g/cm3
DFT total energy = -5.0140 eV/atom


No. 2
An optimized crystal structure of YP2Au. Source: Alexandria via LeMat-Bulk, functional PBE.

a = 3.824 Å, b = 3.877 Å, c = 5.501 Å
α = 90.00°, β = 90.80°, γ = 90.00°
Space group P2/m (No. 10)
Inequivalent atoms, fractional coordinates:
Y  0.000  0.000  0.000
P  0.481  0.500  0.795
Au  0.500  0.000  0.500

ΔH_f (0 K) = -246 kJ/mol of formula units
energy above the lowest structure with this stoichiometry = 0.088 eV per atom
theoretical density = 7.08 g/cm3
DFT total energy = -5.7783 eV/atom


No. 3
An optimized crystal structure of RbCe2AgI8. Source: Alexandria via LeMat-Bulk, functional PBE.

a = 7.626 Å, b = 7.859 Å, c = 9.655 Å
α = 90.07°, β = 90.03°, γ = 97.13°
Space group P-1 (No. 2)
Inequivalent atoms, fractional coordinates:
Rb  0.000  0.000  0.000
Ce  0.500  0.500  0.260
Ag  0.000  0.000  0.500
I  0.255  0.154  0.713
I  0.257  0.154  0.286
I  0.268  0.637  0.500
I  0.283  0.628  0.000

raw formation energy = -1.14 eV/atom
theoretical density = 4.31 g/cm3
DFT total energy = -3.4772 eV/atom


No. 4
An optimized crystal structure of AlAgPd3. Source: Alexandria via LeMat-Bulk, functional PBE.

a = 4.563 Å, b = 4.563 Å, c = 4.563 Å
α = 90.00°, β = 90.00°, γ = 90.00°
Space group Pm-3m (No. 221)
Inequivalent atoms, fractional coordinates:
Al  0.000  0.000  0.000
Ag  0.500  0.500  0.500
Pd  0.000  0.000  0.500

ΔH_f (0 K) = 55 kJ/mol of formula units
energy above the lowest structure with this stoichiometry = 0.468 eV per atom
theoretical density = 7.94 g/cm3
DFT total energy = -4.3205 eV/atom


No. 5
An optimized crystal structure of PmHgIr. Source: Alexandria via LeMat-Bulk, functional PBE.

a = 3.731 Å, b = 3.731 Å, c = 9.564 Å
α = 90.00°, β = 90.00°, γ = 90.00°
Space group I4mm (No. 107)
Inequivalent atoms, fractional coordinates:
Pm  0.000  0.000  0.000
Hg  0.000  0.000  0.687
Ir  0.000  0.000  0.353

ΔH_f (0 K) = -82 kJ/mol of formula units
energy above the lowest structure with this stoichiometry = 0.261 eV per atom
theoretical density = 13.42 g/cm3
DFT total energy = -4.9224 eV/atom


No. 6
An optimized crystal structure of La6CoIr2Br3. Source: Alexandria via LeMat-Bulk, functional PBE.

a = 7.219 Å, b = 12.504 Å, c = 8.262 Å
α = 90.00°, β = 106.92°, γ = 90.00°
Space group C2/m (No. 12)
Inequivalent atoms, fractional coordinates:
La  0.228  0.163  0.194
La  0.239  0.500  0.194
Co  0.000  0.000  0.000
Ir  0.000  0.333  0.000
Br  0.000  0.166  0.500
Br  0.000  0.500  0.500

raw formation energy = -1.10 eV/atom
theoretical density = 7.06 g/cm3
DFT total energy = -6.0521 eV/atom


No. 7
An optimized crystal structure of Nd6ErCd. Source: Alexandria via LeMat-Bulk, functional PBE.

a = 6.581 Å, b = 6.592 Å, c = 9.118 Å
α = 110.79°, β = 90.61°, γ = 119.49°
Space group P-1 (No. 2)
Inequivalent atoms, fractional coordinates:
Nd  0.039  0.470  0.287
Nd  0.172  0.136  0.709
Nd  0.440  0.261  0.288
Er  0.500  0.000  0.500
Cd  0.000  0.000  0.000

ΔH_f (0 K) = 320 kJ/mol of formula units
energy above the lowest structure with this stoichiometry = 0.459 eV per atom
theoretical density = 6.07 g/cm3
DFT total energy = -3.8456 eV/atom


No. 8
An optimized crystal structure of TlZn3H. Source: Alexandria via LeMat-Bulk, functional PBE.

a = 5.185 Å, b = 5.185 Å, c = 5.185 Å
α = 90.00°, β = 90.00°, γ = 90.00°
Space group Pm-3m (No. 221)
Inequivalent atoms, fractional coordinates:
Tl  0.000  0.000  0.000
Zn  0.000  0.000  0.500
H  0.500  0.500  0.500

energy above the lowest structure with this stoichiometry = 0.528 eV per atom
theoretical density = 4.78 g/cm3
DFT total energy = -1.0273 eV/atom


No. 9
An optimized crystal structure of BaBr5. Source: Alexandria via LeMat-Bulk, functional PBE.

a = 4.182 Å, b = 4.182 Å, c = 12.781 Å
α = 90.00°, β = 90.00°, γ = 90.00°
Space group P4/mmm (No. 123)
Inequivalent atoms, fractional coordinates:
Ba  0.000  0.000  0.000
Br  0.000  0.000  0.389
Br  0.500  0.500  0.137
Br  0.500  0.500  0.500

raw formation energy = -0.65 eV/atom
energy above the lowest structure with this stoichiometry = 0.340 eV per atom
theoretical density = 3.99 g/cm3
DFT total energy = -2.3628 eV/atom


No. 10
An optimized crystal structure of Pr2PuPa. Source: Alexandria via LeMat-Bulk, functional PBE.

a = 3.4436 Å, b = 3.4436 Å, c = 36.7426 Å
α = 90.00°, β = 90.00°, γ = 120.00°
Space group R-3m (No. 166, hexagonal axes)
Inequivalent atoms, fractional coordinates:
Pr  0.0000  0.0000  0.0907
Pu  0.0000  0.0000  0.0000
Pa  0.0000  0.0000  0.5000

ΔH_f (0 K) = 136 kJ/mol of formula units
theoretical density = 9.99 g/cm3
DFT total energy = -7.9939 eV/atom


No. 11
An optimized crystal structure of In2TcAs. Source: Alexandria via LeMat-Bulk, functional PBE.

a = 3.578 Å, b = 3.595 Å, c = 5.950 Å
α = 90.00°, β = 90.00°, γ = 90.00°
Space group Pmmm (No. 47)
Inequivalent atoms, fractional coordinates:
In  0.000  0.000  0.241
Tc  0.500  0.500  0.000
As  0.500  0.500  0.500

ΔH_f (0 K) = 130 kJ/mol of formula units
theoretical density = 8.73 g/cm3
DFT total energy = -4.7853 eV/atom


No. 12
An optimized crystal structure of Tm5Ag4Rh. Source: Alexandria via LeMat-Bulk, functional PBE.

a = 3.525 Å, b = 3.525 Å, c = 17.909 Å
α = 90.00°, β = 90.00°, γ = 90.00°
Space group P4/mmm (No. 123)
Inequivalent atoms, fractional coordinates:
Tm  0.000  0.000  0.000
Tm  0.000  0.000  0.205
Tm  0.000  0.000  0.410
Ag  0.500  0.500  0.102
Ag  0.500  0.500  0.306
Rh  0.500  0.500  0.500

ΔH_f (0 K) = -447 kJ/mol of formula units
theoretical density = 10.29 g/cm3
DFT total energy = -4.5745 eV/atom


No. 13
An optimized crystal structure of MgB2. Source: Alexandria via LeMat-Bulk, functional PBE.

a = 3.851 Å, b = 11.634 Å, c = 2.993 Å
α = 90.00°, β = 90.00°, γ = 90.00°
Space group Cmcm (No. 63)
Inequivalent atoms, fractional coordinates:
Mg  0.000  0.173  0.250
B  0.000  0.386  0.250
B  0.000  0.461  0.750

ΔH_f (0 K) = 45 kJ/mol of formula units
energy above the lowest structure with this stoichiometry = 0.283 eV per atom
theoretical density = 2.28 g/cm3
DFT total energy = -4.8287 eV/atom


No. 14
An optimized crystal structure of HoPuNp2P4. Source: Alexandria via LeMat-Bulk, functional PBE.

a = 6.869 Å, b = 3.951 Å, c = 6.883 Å
α = 90.00°, β = 109.30°, γ = 90.00°
Space group P2/m (No. 10)
Inequivalent atoms, fractional coordinates:
Ho  0.000  0.000  0.000
Pu  0.500  0.500  0.000
Np  0.000  0.500  0.500
Np  0.500  0.000  0.500
P  0.249  0.000  0.747
P  0.251  0.500  0.254

ΔH_f (0 K) = -846 kJ/mol of formula units
theoretical density = 9.48 g/cm3
DFT total energy = -9.3998 eV/atom


No. 15
An optimized crystal structure of HfGaGe2. Source: Alexandria via LeMat-Bulk, functional PBE.

a = 6.736 Å, b = 6.736 Å, c = 6.736 Å
α = 90.00°, β = 90.00°, γ = 90.00°
Space group Fm-3m (No. 225)
Inequivalent atoms, fractional coordinates:
Hf  0.000  0.000  0.000
Ga  0.000  0.000  0.500
Ge  0.250  0.250  0.250

ΔH_f (0 K) = 46 kJ/mol of formula units
energy above the lowest structure with this stoichiometry = 0.289 eV per atom
theoretical density = 8.55 g/cm3
DFT total energy = -5.4349 eV/atom


No. 16
An optimized crystal structure of AcY15Ho4. Source: Alexandria via LeMat-Bulk, functional PBE.

a = 5.066 Å, b = 5.066 Å, c = 25.366 Å
α = 90.00°, β = 90.00°, γ = 90.00°
Space group P4/mmm (No. 123)
Inequivalent atoms, fractional coordinates:
Ac  0.000  0.000  0.000
Y  0.000  0.500  0.105
Y  0.000  0.500  0.302
Y  0.000  0.500  0.500
Y  0.500  0.500  0.000
Y  0.500  0.500  0.204
Y  0.500  0.500  0.401
Ho  0.000  0.000  0.203
Ho  0.000  0.000  0.401

ΔH_f (0 K) = 62 kJ/mol of formula units
theoretical density = 5.66 g/cm3
DFT total energy = -5.9366 eV/atom


No. 17
An optimized crystal structure of VInBiTe2. Source: Alexandria via LeMat-Bulk, functional PBE.

a = 5.998 Å, b = 5.998 Å, c = 5.484 Å
α = 90.00°, β = 90.00°, γ = 90.00°
Space group P4/mmm (No. 123)
Inequivalent atoms, fractional coordinates:
V  0.000  0.000  0.000
In  0.500  0.500  0.000
Bi  0.000  0.000  0.500
Te  0.000  0.500  0.500

raw formation energy = 0.70 eV/atom
theoretical density = 5.30 g/cm3
DFT total energy = -3.7060 eV/atom


No. 18
An optimized crystal structure of Si5Au. Source: Alexandria via LeMat-Bulk, functional PBE.

a = 4.8624 Å, b = 4.8624 Å, c = 4.5942 Å
α = 90.00°, β = 90.00°, γ = 120.00°
Space group P-62m (No. 189)
Inequivalent atoms, fractional coordinates:
Si  0.0000  0.6512  0.0000
Si  0.3333  0.6667  0.5000
Au  0.0000  0.0000  0.5000

raw formation energy = 0.51 eV/atom
energy above the lowest structure with this stoichiometry = 0.244 eV per atom
theoretical density = 5.96 g/cm3
DFT total energy = -4.5555 eV/atom


No. 19
An optimized crystal structure of BeBr2Cl. Source: Alexandria via LeMat-Bulk, functional PBE.

a = 5.8782 Å, b = 5.8782 Å, c = 18.2157 Å
α = 90.00°, β = 90.00°, γ = 120.00°
Space group R-3m (No. 166, hexagonal axes)
Inequivalent atoms, fractional coordinates:
Be  0.0000  0.0000  0.0000
Br  0.0000  0.0000  0.1072
Cl  0.0000  0.0000  0.5000

raw formation energy = -0.21 eV/atom
energy above the lowest structure with this stoichiometry = 0.484 eV per atom
theoretical density = 1.87 g/cm3
DFT total energy = -2.4419 eV/atom


No. 20
An optimized crystal structure of CuTc2W. Source: Alexandria via LeMat-Bulk, functional PBE.

a = 8.918 Å, b = 2.780 Å, c = 4.756 Å
α = 90.00°, β = 99.99°, γ = 90.00°
Space group C2/m (No. 12)
Inequivalent atoms, fractional coordinates:
Cu  0.000  0.000  0.000
Tc  0.249  0.500  0.243
W  0.000  0.500  0.500

ΔH_f (0 K) = 92 kJ/mol of formula units
energy above the lowest structure with this stoichiometry = 0.082 eV per atom
theoretical density = 12.68 g/cm3
DFT total energy = -9.2058 eV/atom


Listing total magnetization for the structures above in their given order: 15.6 0.0 2.0 0.0 0.0 0.0 0.0 0.0 2.8 18.8 0.0 0.0 0.0 5.1 0.0 0.0 3.2 0.0 3.0 0.0 μB per cell.